No. 1
Material: TbTcAs2
Method: DFT, PBE-GGA
State: optimized geometry

The mass density is 8.9 g cm⁻³. The energy above the most stable polymorph in this dataset comes out at 0 meV per atom. As for the uncorrected energy: -26.95 eV per formula unit. Its formation energy is -2.659 eV per formula unit.

It has space group R-3m (No. 166, hexagonal axes), with a = 4.2798 Å, b = 4.2798 Å, c = 14.3497 Å, α = 90.00°, β = 90.00° and γ = 120.00°. The inequivalent atoms are Tb at (0.0000, 0.0000, 0.0000), Tc at (0.0000, 0.0000, 0.5000) and As at (0.0000, 0.0000, 0.2221).

***

No. 2
Material: YZnTe3
Method: DFT, PBE-GGA
State: optimized geometry

The mass density is 6.0 g cm⁻³. The energy above the most stable polymorph in this dataset comes out at 558 meV per atom. As for the uncorrected energy: -18.02 eV per formula unit.

It has space group Pm-3m (No. 221), with a = 5.294 Å, b = 5.294 Å, c = 5.294 Å, α = 90.00°, β = 90.00° and γ = 90.00°. The inequivalent atoms are Y at (0.000, 0.000, 0.000), Zn at (0.500, 0.500, 0.500) and Te at (0.000, 0.500, 0.500).

***

No. 3
Material: Ba2NbPt3O12
Method: DFT, PBE-GGA
State: optimized geometry

The mass density is 7.1 g cm⁻³. As for the uncorrected energy: -116.17 eV per formula unit.

It has space group R-3m (No. 166, hexagonal axes), with a = 7.1176 Å, b = 7.1176 Å, c = 18.2116 Å, α = 90.00°, β = 90.00° and γ = 120.00°. The inequivalent atoms are Ba at (0.0000, 0.0000, 0.1225), Nb at (0.0000, 0.0000, 0.5000), Pt at (0.0000, 0.5000, 0.0000), O at (0.0502, 0.5251, 0.3595) and O at (0.0592, 0.5296, 0.1080).

***

No. 4
Material: CaPm4Nd3
Method: DFT, PBE-GGA
State: optimized geometry

The mass density is 6.1 g cm⁻³. As for the uncorrected energy: -33.65 eV per formula unit. Its formation energy is 1.662 eV per formula unit.

It has space group C2/m (No. 12), with a = 26.467 Å, b = 5.837 Å, c = 3.708 Å, α = 90.00°, β = 90.06° and γ = 90.00°. The inequivalent atoms are Ca at (0.000, 0.000, 0.000), Pm at (0.104, 0.000, 0.500), Pm at (0.224, 0.000, 0.500), Nd at (0.000, 0.500, 0.500) and Nd at (0.150, 0.500, 0.000).

***

No. 5
Material: CaCrCu
Method: DFT, PBE-GGA
State: optimized geometry

The mass density is 3.7 g cm⁻³. The energy above the most stable polymorph in this dataset comes out at 124 meV per atom. As for the uncorrected energy: -14.16 eV per formula unit. Its formation energy is 1.558 eV per formula unit.

It has space group F-43m (No. 216), with a = 6.542 Å, b = 6.542 Å, c = 6.542 Å, α = 90.00°, β = 90.00° and γ = 90.00°. The inequivalent atoms are Ca at (0.000, 0.000, 0.000), Cr at (0.000, 0.000, 0.500) and Cu at (0.250, 0.250, 0.250).

***

No. 6
Material: TaAgPb2
Method: DFT, PBE-GGA
State: optimized geometry

The mass density is 12.0 g cm⁻³. The energy above the most stable polymorph in this dataset comes out at 143 meV per atom. As for the uncorrected energy: -20.22 eV per formula unit. Its formation energy is 1.896 eV per formula unit.

It has space group Imm2 (No. 44), with a = 3.096 Å, b = 5.095 Å, c = 12.344 Å, α = 90.00°, β = 90.00° and γ = 90.00°. The inequivalent atoms are Ta at (0.000, 0.000, 0.000), Ag at (0.000, 0.500, 0.699), Pb at (0.000, 0.000, 0.493) and Pb at (0.000, 0.500, 0.278).

***

No. 7
Material: LiHoGePt3
Method: DFT, PBE-GGA
State: optimized geometry

The mass density is 13.2 g cm⁻³. As for the uncorrected energy: -33.50 eV per formula unit. Its formation energy is -4.269 eV per formula unit.

It has space group Cmcm (No. 63), with a = 5.658 Å, b = 12.872 Å, c = 5.715 Å, α = 90.00°, β = 90.00° and γ = 90.00°. The inequivalent atoms are Li at (0.000, 0.123, 0.250), Ho at (0.000, 0.335, 0.250), Ge at (0.000, 0.380, 0.750), Pt at (0.000, 0.189, 0.750) and Pt at (0.239, 0.000, 0.000).

***

No. 8
Material: AgN
Method: DFT, PBE-GGA
State: optimized geometry

The mass density is 6.5 g cm⁻³. The energy above the most stable polymorph in this dataset comes out at 1456 meV per atom. As for the uncorrected energy: -7.75 eV per formula unit.

It has space group Pmn2_1 (No. 31), with a = 8.577 Å, b = 3.883 Å, c = 5.643 Å, α = 90.00°, β = 90.00° and γ = 90.00°. The inequivalent atoms are Ag at (0.000, 0.067, 0.000), Ag at (0.220, 0.421, 0.664), N at (0.000, 0.568, 0.870) and N at (0.242, 0.101, 0.983).

***

No. 9
Material: PrHoTmHg
Method: DFT, PBE-GGA
State: optimized geometry

The mass density is 9.8 g cm⁻³. The energy above the most stable polymorph in this dataset comes out at 171 meV per atom. As for the uncorrected energy: -14.38 eV per formula unit. Its formation energy is -0.249 eV per formula unit.

It has space group F-43m (No. 216), with a = 7.718 Å, b = 7.718 Å, c = 7.718 Å, α = 90.00°, β = 90.00° and γ = 90.00°. The inequivalent atoms are Pr at (0.000, 0.000, 0.000), Ho at (0.000, 0.000, 0.500), Tm at (0.250, 0.250, 0.750) and Hg at (0.250, 0.250, 0.250).

***

No. 10
Material: Nd4SiGe
Method: DFT, PBE-GGA
State: optimized geometry

The mass density is 6.5 g cm⁻³. The energy above the most stable polymorph in this dataset comes out at 33 meV per atom. As for the uncorrected energy: -32.12 eV per formula unit.

It has space group C2/c (No. 15), with a = 9.130 Å, b = 13.556 Å, c = 6.455 Å, α = 90.00°, β = 120.52° and γ = 90.00°. The inequivalent atoms are Nd at (0.126, 0.184, 0.093), Nd at (0.189, 0.431, 0.277), Si at (0.000, 0.369, 0.750) and Ge at (0.000, 0.002, 0.750).

***

No. 11
Material: BaPAu3
Method: DFT, PBE-GGA
State: optimized geometry

The mass density is 10.9 g cm⁻³. The energy above the most stable polymorph in this dataset comes out at 0 meV per atom. As for the uncorrected energy: -19.56 eV per formula unit. Its formation energy is -2.394 eV per formula unit.

It has space group Cmcm (No. 63), with a = 6.512 Å, b = 10.282 Å, c = 6.929 Å, α = 90.00°, β = 90.00° and γ = 90.00°. The inequivalent atoms are Ba at (0.000, 0.238, 0.250), P at (0.000, 0.377, 0.750), Au at (0.000, 0.140, 0.750) and Au at (0.229, 0.500, 0.000).

***

No. 12
Material: Nd2Sm3Mg
Method: DFT, PBE-GGA
State: optimized geometry

The mass density is 5.8 g cm⁻³. The energy above the most stable polymorph in this dataset comes out at 366 meV per atom. As for the uncorrected energy: -23.04 eV per formula unit. Its formation energy is 2.251 eV per formula unit.

It has space group Imm2 (No. 44), with a = 3.466 Å, b = 15.230 Å, c = 8.267 Å, α = 90.00°, β = 90.00° and γ = 90.00°. The inequivalent atoms are Nd at (0.000, 0.241, 0.000), Sm at (0.000, 0.103, 0.702), Sm at (0.000, 0.500, 0.885) and Mg at (0.000, 0.000, 0.040).